Record 1
Material: SrTeAsN2
Method: DFT, PBE
State: relaxed

a = 4.3442 Å, b = 4.3442 Å, c = 5.5856 Å
α = 90.00°, β = 90.00°, γ = 90.00°
With the nearest neighbours (Å) after each atom.
Space group P4/mmm (No. 123)
One atom of each set of equivalent atoms:
Sr: 0.0000 0.0000 0.0000 x1  4 Te 3.07
Te: 0.5000 0.5000 0.0000 x1  2 As 2.79, 4 Sr 3.07
As: 0.5000 0.5000 0.5000 x1  4 N 2.17
N: 0.0000 0.5000 0.5000 x2  2 As 2.17

Results
Its total moment is 2.36 μB/cell. The value obtained for the uncorrected formation energy is 748 meV/atom. The energy comes out at -4.477 eV/atom.


Record 2
Material: Re2SbBr
Method: DFT, PBE
State: relaxed

a = 2.9874 Å, b = 4.5038 Å, c = 11.6079 Å
α = 90.00°, β = 90.00°, γ = 90.00°
With the nearest neighbours (Å) after each atom.
Space group Imm2 (No. 44)
One atom of each set of equivalent atoms:
Re: 0.0000 0.0000 0.0000 x2  2 Re 2.57, 4 Br 2.72
Re: 0.0000 0.5000 0.3203 x2  2 Re 2.57
Sb: 0.0000 0.5000 0.7333 x2  6 Re 2.88-3.09, 2 Sb 2.99
Br: 0.0000 0.0000 0.5288 x2  4 Re 2.72, 2 Br 2.99

Results
Its total moment is 0.00 μB/cell. The value obtained for the uncorrected formation energy is 957 meV/atom. The energy comes out at -6.716 eV/atom.


Record 3
Material: AlReSi
Method: DFT, PBE
State: relaxed

a = 9.3120 Å, b = 3.1282 Å, c = 6.2236 Å
α = 90.00°, β = 94.61°, γ = 90.00°
With the nearest neighbours (Å) after each atom.
Space group C2/m (No. 12)
One atom of each set of equivalent atoms:
Al: 0.0548 0.0000 0.3066 x4  4 Re 2.57-2.68, 1 Al 2.69, 4 Si 2.82
Re: 0.2198 0.0000 0.6805 x4  3 Si 2.51, 4 Al 2.57-2.68
Si: 0.1370 0.5000 0.9607 x4  3 Re 2.51, 3 Si 2.64

Results
Its total moment is 0.00 μB/cell. The value obtained for the uncorrected formation energy is -119 meV/atom. The energy comes out at -7.323 eV/atom.


Record 4
Material: SiIr2Cl
Method: DFT, PBE
State: relaxed

a = 2.9141 Å, b = 2.9883 Å, c = 7.1323 Å
α = 90.00°, β = 90.00°, γ = 90.00°
With the nearest neighbours (Å) after each atom.
Space group Pmmm (No. 47)
One atom of each set of equivalent atoms:
Si: 0.0000 0.0000 0.0000 x1  8 Ir 2.50
Ir: 0.5000 0.5000 0.1921 x2  4 Si 2.50, 2 Cl 2.64, 1 Ir 2.74
Cl: 0.0000 0.5000 0.5000 x1  4 Ir 2.64, 2 Cl 2.91

Results
Its total moment is 0.00 μB/cell. The value obtained for the uncorrected formation energy is -159 meV/atom. The energy comes out at -6.407 eV/atom.


Record 5
Material: AlCo6
Method: DFT, PBE
State: relaxed

a = 6.1116 Å, b = 6.1116 Å, c = 6.1116 Å
α = 90.00°, β = 90.00°, γ = 90.00°
With the nearest neighbours (Å) after each atom.
Space group Im-3m (No. 229)
One atom of each set of equivalent atoms:
Al: 0.0000 0.0000 0.0000 x2  24 Co 3.42
Co: 0.0000 0.2500 0.5000 x12  4 Co 2.16

Results
Its total moment is 18.01 μB/cell. The calculation puts the calculated formation energy at 1.060 eV per atom. The energy comes out at -5.566 eV/atom.


Record 6
Material: Y2TaW
Method: DFT, PBE
State: relaxed

a = 5.9308 Å, b = 10.0078 Å, c = 2.9734 Å
α = 90.00°, β = 92.92°, γ = 90.00°
With the nearest neighbours (Å) after each atom.
Space group C2/m (No. 12)
One atom of each set of equivalent atoms:
Y: 0.2500 0.2500 0.0000 x4  4 Y 2.97, 4 Ta 3.23-3.30, 4 W 3.23-3.30
Ta: 0.0000 0.0000 0.5000 x2  2 W 2.97, 2 Ta 2.97, 8 Y 3.23-3.30
W: 0.0000 0.5000 0.5000 x2  2 Ta 2.97, 2 W 2.97, 8 Y 3.23-3.30

Results
Its total moment is 0.00 μB/cell. The calculation puts the calculated formation energy at 0.604 eV per atom. The energy comes out at -8.829 eV/atom.


Record 7
Material: Er2PbAu
Method: DFT, PBE
State: relaxed

a = 3.5120 Å, b = 3.5120 Å, c = 8.2004 Å
α = 90.00°, β = 90.00°, γ = 90.00°
With the nearest neighbours (Å) after each atom.
Space group P4/mmm (No. 123)
One atom of each set of equivalent atoms:
Er: 0.0000 0.0000 0.2200 x2  4 Au 3.07, 4 Pb 3.38
Pb: 0.5000 0.5000 0.5000 x1  8 Er 3.38, 4 Pb 3.51
Au: 0.5000 0.5000 0.0000 x1  8 Er 3.07

Results
Its total moment is 0.00 μB/cell. The calculation puts the calculated formation energy at -0.626 eV per atom. The energy comes out at -4.653 eV/atom.


Record 8
Material: YTmIn6
Method: DFT, PBE
State: relaxed

a = 6.5754 Å, b = 6.5754 Å, c = 5.3260 Å
α = 90.00°, β = 90.00°, γ = 120.00°
With the nearest neighbours (Å) after each atom.
Space group P-6m2 (No. 187)
One atom of each set of equivalent atoms:
Y: 0.0000 0.0000 0.0000 x1  12 In 3.29-3.30
Tm: 0.6667 0.3333 0.5000 x1  12 In 3.29
In: 0.0064 0.5032 0.0000 x3  8 In 3.22-3.35, 2 Y 3.29, 2 Tm 3.29
In: 0.1716 0.3433 0.5000 x3  8 In 3.19-3.39, 2 Tm 3.29, 2 Y 3.30

Results
Its total moment is 0.00 μB/cell. The calculation puts the calculated formation energy at -0.330 eV per atom. The energy comes out at -3.751 eV/atom.